Material: Sm12Dy5Cd3
Method: DFT, PBE-GGA
State: optimized geometry

Values from the calculation:
* formation energy from the elements: 809 meV/atom

Unit cell a=16.0290 b=16.0290 c=16.0290 alpha=109.47 beta=109.47 gamma=109.47
Sites, in units of the cell vectors:
Sm 0.0710 0.6472 0.4154
Sm 0.0710 0.9238 0.6556
Sm 0.0762 0.2318 0.1472
Sm 0.0762 0.3444 0.9290
Sm 0.0846 0.7318 0.6556
Sm 0.0846 0.8528 0.4290
Sm 0.1472 0.0762 0.2318
Sm 0.1472 0.5710 0.9154
Sm 0.1556 0.2318 0.5846
Sm 0.1556 0.4238 0.5710
Sm 0.2318 0.1472 0.0762
Sm 0.2318 0.5846 0.1556
Sm 0.2682 0.3444 0.9154
Sm 0.2682 0.4238 0.3528
Sm 0.3444 0.9154 0.2682
Sm 0.3444 0.9290 0.0762
Sm 0.3528 0.2682 0.4238
Sm 0.3528 0.5846 0.9290
Sm 0.4154 0.0710 0.6472
Sm 0.4154 0.8444 0.7682
Sm 0.4238 0.3528 0.2682
Sm 0.4238 0.5710 0.1556
Sm 0.4290 0.0846 0.8528
Sm 0.4290 0.8444 0.5762
Sm 0.5710 0.1556 0.4238
Sm 0.5710 0.9154 0.1472
Sm 0.5762 0.4290 0.8444
Sm 0.5762 0.6472 0.7318
Sm 0.5846 0.1556 0.2318
Sm 0.5846 0.9290 0.3528
Sm 0.6472 0.4154 0.0710
Sm 0.6472 0.7318 0.5762
Sm 0.6556 0.0710 0.9238
Sm 0.6556 0.0846 0.7318
Sm 0.7318 0.5762 0.6472
Sm 0.7318 0.6556 0.0846
Sm 0.7682 0.4154 0.8444
Sm 0.7682 0.8528 0.9238
Sm 0.8444 0.5762 0.4290
Sm 0.8444 0.7682 0.4154
Sm 0.8528 0.4290 0.0846
Sm 0.8528 0.9238 0.7682
Sm 0.9154 0.1472 0.5710
Sm 0.9154 0.2682 0.3444
Sm 0.9238 0.6556 0.0710
Sm 0.9238 0.7682 0.8528
Sm 0.9290 0.0762 0.3444
Sm 0.9290 0.3528 0.5846
Dy 0.0000 0.0000 0.0000
Dy 0.0000 0.0000 0.5000
Dy 0.0000 0.5000 0.0000
Dy 0.0000 0.5000 0.5000
Dy 0.1250 0.7500 0.8750
Dy 0.1250 0.8750 0.2500
Dy 0.2500 0.1250 0.8750
Dy 0.2500 0.6250 0.3750
Dy 0.3750 0.2500 0.6250
Dy 0.3750 0.6250 0.7500
Dy 0.5000 0.0000 0.0000
Dy 0.5000 0.0000 0.5000
Dy 0.5000 0.5000 0.0000
Dy 0.5000 0.5000 0.5000
Dy 0.6250 0.3750 0.2500
Dy 0.6250 0.7500 0.3750
Dy 0.7500 0.3750 0.6250
Dy 0.7500 0.8750 0.1250
Dy 0.8750 0.1250 0.7500
Dy 0.8750 0.2500 0.1250
Cd 0.1250 0.2500 0.3750
Cd 0.1250 0.3750 0.7500
Cd 0.2500 0.3750 0.1250
Cd 0.2500 0.8750 0.6250
Cd 0.3750 0.1250 0.2500
Cd 0.3750 0.7500 0.1250
Cd 0.6250 0.2500 0.8750
Cd 0.6250 0.8750 0.7500
Cd 0.7500 0.1250 0.3750
Cd 0.7500 0.6250 0.8750
Cd 0.8750 0.6250 0.2500
Cd 0.8750 0.7500 0.6250

Material: Sm4Dy5Cd
Method: DFT, PBE-GGA
State: optimized geometry

Values from the calculation:
* formation energy from the elements: -49 meV/atom
* energy above the most stable polymorph in this dataset: 0.000 eV/atom

Unit cell a=3.5939 b=3.5939 c=24.2781 alpha=90.00 beta=90.00 gamma=90.00
Sites, in units of the cell vectors:
Sm 0.0000 0.0000 0.1039
Sm 0.0000 0.0000 0.3123
Sm 0.0000 0.0000 0.6877
Sm 0.0000 0.0000 0.8961
Dy 0.5000 0.5000 0.0000
Dy 0.5000 0.5000 0.2083
Dy 0.5000 0.5000 0.4157
Dy 0.5000 0.5000 0.5843
Dy 0.5000 0.5000 0.7917
Cd 0.0000 0.0000 0.5000

Material: Sm2Dy2Cd3
Method: DFT, PBE-GGA
State: optimized geometry

Values from the calculation:
* formation energy from the elements: -106 meV/atom

Unit cell a=8.0985 b=8.0985 c=8.0985 alpha=109.47 beta=109.47 gamma=109.47
Sites, in units of the cell vectors:
Sm 0.0000 0.1581 0.5000
Sm 0.1581 0.5000 0.0000
Sm 0.3419 0.3419 0.3419
Sm 0.5000 0.0000 0.1581
Dy 0.0000 0.6419 0.5000
Dy 0.5000 0.0000 0.6419
Dy 0.6419 0.5000 0.0000
Dy 0.8581 0.8581 0.8581
Cd 0.1136 0.8636 0.2500
Cd 0.2500 0.1136 0.8636
Cd 0.3864 0.6364 0.7500
Cd 0.6364 0.7500 0.3864
Cd 0.7500 0.3864 0.6364
Cd 0.8636 0.2500 0.1136

Material: SmDy5Cd4
Method: DFT, PBE-GGA
State: optimized geometry

Values from the calculation:
* formation energy from the elements: -241 meV/atom

Unit cell a=3.6969 b=3.6969 c=20.2131 alpha=90.00 beta=90.00 gamma=90.00
Sites, in units of the cell vectors:
Sm 0.0000 0.0000 0.0000
Dy 0.5000 0.5000 0.1221
Dy 0.5000 0.5000 0.3120
Dy 0.5000 0.5000 0.5000
Dy 0.5000 0.5000 0.6880
Dy 0.5000 0.5000 0.8779
Cd 0.0000 0.0000 0.2169
Cd 0.0000 0.0000 0.4052
Cd 0.0000 0.0000 0.5948
Cd 0.0000 0.0000 0.7831

Material: Sm2DyCd5
Method: DFT, PBE-GGA
State: optimized geometry

Values from the calculation:
* formation energy from the elements: -304 meV/atom

Unit cell a=5.1558 b=5.1558 c=15.3040 alpha=90.00 beta=90.00 gamma=90.00
Sites, in units of the cell vectors:
Sm 0.0000 0.0000 0.2381
Sm 0.0000 0.0000 0.7619
Sm 0.5000 0.5000 0.2619
Sm 0.5000 0.5000 0.7381
Dy 0.0000 0.0000 0.5000
Dy 0.5000 0.5000 0.0000
Cd 0.0000 0.0000 0.0000
Cd 0.0000 0.5000 0.1159
Cd 0.0000 0.5000 0.3841
Cd 0.0000 0.5000 0.6159
Cd 0.0000 0.5000 0.8841
Cd 0.5000 0.0000 0.1159
Cd 0.5000 0.0000 0.3841
Cd 0.5000 0.0000 0.6159
Cd 0.5000 0.0000 0.8841
Cd 0.5000 0.5000 0.5000

Material: Sm5Dy8Cd
Method: DFT, PBE-GGA
State: optimized geometry

Values from the calculation:
* formation energy from the elements: 198 meV/atom

Unit cell a=8.4185 b=8.4185 c=8.4185 alpha=110.49 beta=110.49 gamma=107.46
Sites, in units of the cell vectors:
Sm 0.0000 0.0000 0.0000
Sm 0.2098 0.3200 0.6896
Sm 0.4798 0.7902 0.1102
Sm 0.6304 0.5202 0.3104
Sm 0.6800 0.3696 0.8898
Dy 0.1595 0.4339 0.1032
Dy 0.3307 0.0562 0.8968
Dy 0.4188 0.1609 0.3949
Dy 0.5661 0.6693 0.7256
Dy 0.7660 0.0239 0.6051
Dy 0.8391 0.2340 0.2579
Dy 0.9438 0.8405 0.2744
Dy 0.9761 0.5812 0.7421
Cd 0.2500 0.7500 0.5000

Material: TbSmDyCd
Method: DFT, PBE-GGA
State: optimized geometry

Values from the calculation:
* formation energy from the elements: -150 meV/atom
* energy above the most stable polymorph in this dataset: 0.000 eV/atom

Unit cell a=3.6153 b=3.6153 c=9.0583 alpha=90.00 beta=90.00 gamma=90.00
Sites, in units of the cell vectors:
Tb 0.0000 0.0000 0.0000
Sm 0.5000 0.5000 0.2766
Dy 0.0000 0.0000 0.5520
Cd 0.5000 0.5000 0.7744

Material: TbSmDyCd
Method: DFT, PBE-GGA
State: optimized geometry

Values from the calculation:
* formation energy from the elements: -19 meV/atom
* energy above the most stable polymorph in this dataset: 0.131 eV/atom

Unit cell a=7.7477 b=7.7477 c=7.7477 alpha=90.00 beta=90.00 gamma=90.00
Sites, in units of the cell vectors:
Tb 0.0000 0.0000 0.0000
Tb 0.0000 0.5000 0.5000
Tb 0.5000 0.0000 0.5000
Tb 0.5000 0.5000 0.0000
Sm 0.2500 0.2500 0.7500
Sm 0.2500 0.7500 0.2500
Sm 0.7500 0.2500 0.2500
Sm 0.7500 0.7500 0.7500
Dy 0.2500 0.2500 0.2500
Dy 0.2500 0.7500 0.7500
Dy 0.7500 0.2500 0.7500
Dy 0.7500 0.7500 0.2500
Cd 0.0000 0.0000 0.5000
Cd 0.0000 0.5000 0.0000
Cd 0.5000 0.0000 0.0000
Cd 0.5000 0.5000 0.5000

Material: TbSm2Dy2Cd
Method: DFT, PBE-GGA
State: optimized geometry

Values from the calculation:
* formation energy from the elements: 55 meV/atom

Unit cell a=6.5549 b=10.1261 c=5.5967 alpha=90.00 beta=90.00 gamma=90.00
Sites, in units of the cell vectors:
Tb 0.0000 0.0000 0.0000
Tb 0.5000 0.5000 0.5000
Sm 0.1967 0.3702 0.0000
Sm 0.3033 0.8702 0.5000
Sm 0.6967 0.1298 0.5000
Sm 0.8033 0.6298 0.0000
Dy 0.1997 0.2006 0.5000
Dy 0.3003 0.7006 0.0000
Dy 0.6997 0.2994 0.0000
Dy 0.8003 0.7994 0.5000
Cd 0.0000 0.5000 0.5000
Cd 0.5000 0.0000 0.0000

Material: SmDyTlCd
Method: DFT, PBE-GGA
State: optimized geometry

Values from the calculation:
* formation energy from the elements: -347 meV/atom

Unit cell a=7.6107 b=7.6107 c=7.6107 alpha=90.00 beta=90.00 gamma=90.00
Sites, in units of the cell vectors:
Sm 0.0000 0.0000 0.0000
Sm 0.0000 0.5000 0.5000
Sm 0.5000 0.0000 0.5000
Sm 0.5000 0.5000 0.0000
Dy 0.0000 0.0000 0.5000
Dy 0.0000 0.5000 0.0000
Dy 0.5000 0.0000 0.0000
Dy 0.5000 0.5000 0.5000
Tl 0.2500 0.2500 0.2500
Tl 0.2500 0.7500 0.7500
Tl 0.7500 0.2500 0.7500
Tl 0.7500 0.7500 0.2500
Cd 0.2500 0.2500 0.7500
Cd 0.2500 0.7500 0.2500
Cd 0.7500 0.2500 0.2500
Cd 0.7500 0.7500 0.7500

Material: Sm2DyTl2Cd2
Method: DFT, PBE-GGA
State: optimized geometry

Values from the calculation:
* formation energy from the elements: -154 meV/atom

Unit cell a=9.6262 b=9.6262 c=9.6262 alpha=30.07 beta=30.07 gamma=30.07
Sites, in units of the cell vectors:
Sm 0.1263 0.1263 0.1263
Sm 0.8737 0.8737 0.8737
Dy 0.0000 0.0000 0.0000
Tl 0.2585 0.2585 0.2585
Tl 0.7415 0.7415 0.7415
Cd 0.3891 0.3891 0.3891
Cd 0.6109 0.6109 0.6109

Material: SmDyZnCd
Method: DFT, PBE-GGA
State: optimized geometry

Values from the calculation:
* formation energy from the elements: -327 meV/atom
* energy above the most stable polymorph in this dataset: 0.000 eV/atom

Unit cell a=3.6318 b=3.6318 c=7.6156 alpha=90.00 beta=90.00 gamma=90.00
Sites, in units of the cell vectors:
Sm 0.0000 0.0000 0.0000
Dy 0.0000 0.0000 0.4601
Zn 0.5000 0.5000 0.2409
Cd 0.5000 0.5000 0.7208

Material: SmDyZnCd
Method: DFT, PBE-GGA
State: optimized geometry

Values from the calculation:
* formation energy from the elements: -303 meV/atom
* energy above the most stable polymorph in this dataset: 0.024 eV/atom

Unit cell a=7.4031 b=7.4031 c=7.4031 alpha=90.00 beta=90.00 gamma=90.00
Sites, in units of the cell vectors:
Sm 0.0000 0.0000 0.0000
Sm 0.0000 0.5000 0.5000
Sm 0.5000 0.0000 0.5000
Sm 0.5000 0.5000 0.0000
Dy 0.0000 0.0000 0.5000
Dy 0.0000 0.5000 0.0000
Dy 0.5000 0.0000 0.0000
Dy 0.5000 0.5000 0.5000
Zn 0.2500 0.2500 0.2500
Zn 0.2500 0.7500 0.7500
Zn 0.7500 0.2500 0.7500
Zn 0.7500 0.7500 0.2500
Cd 0.2500 0.2500 0.7500
Cd 0.2500 0.7500 0.2500
Cd 0.7500 0.2500 0.2500
Cd 0.7500 0.7500 0.7500

Material: Dy4Cd2Sn
Method: DFT, PBE-GGA
State: optimized geometry

Values from the calculation:
* formation energy from the elements: -237 meV/atom

Unit cell a=9.0632 b=9.0632 c=9.0632 alpha=33.39 beta=33.39 gamma=33.39
Sites, in units of the cell vectors:
Dy 0.1194 0.1194 0.1194
Dy 0.3719 0.3719 0.3719
Dy 0.6281 0.6281 0.6281
Dy 0.8806 0.8806 0.8806
Cd 0.2511 0.2511 0.2511
Cd 0.7489 0.7489 0.7489
Sn 0.5000 0.5000 0.5000

Material: Dy8Cd2Sn
Method: DFT, PBE-GGA
State: optimized geometry

Values from the calculation:
* formation energy from the elements: -197 meV/atom

Unit cell a=9.3762 b=9.3762 c=7.2361 alpha=106.60 beta=106.60 gamma=32.13
Sites, in units of the cell vectors:
Dy 0.0237 0.0237 0.2579
Dy 0.1959 0.1959 0.7972
Dy 0.3334 0.3334 0.5439
Dy 0.4075 0.4075 0.0413
Dy 0.5925 0.5925 0.9587
Dy 0.6666 0.6666 0.4561
Dy 0.8041 0.8041 0.2028
Dy 0.9763 0.9763 0.7421
Cd 0.1873 0.1873 0.2069
Cd 0.8127 0.8127 0.7931
Sn 0.5000 0.5000 0.5000

Material: DyCdSn3
Method: DFT, PBE-GGA
State: optimized geometry

Values from the calculation:
* formation energy from the elements: -319 meV/atom

Unit cell a=13.0994 b=6.2659 c=6.2875 alpha=90.00 beta=90.00 gamma=90.00
Sites, in units of the cell vectors:
Dy 0.1884 0.0081 0.2500
Dy 0.1884 0.4919 0.7500
Dy 0.8116 0.5081 0.2500
Dy 0.8116 0.9919 0.7500
Cd 0.3828 0.2500 0.0000
Cd 0.3828 0.2500 0.5000
Cd 0.6172 0.7500 0.0000
Cd 0.6172 0.7500 0.5000
Sn 0.9999 0.2500 0.0000
Sn 0.9999 0.2500 0.5000
Sn 0.0001 0.7500 0.0000
Sn 0.0001 0.7500 0.5000
Sn 0.2237 0.5137 0.2500
Sn 0.2237 0.9863 0.7500
Sn 0.4178 0.6966 0.7500
Sn 0.4178 0.8034 0.2500
Sn 0.5822 0.1966 0.7500
Sn 0.5822 0.3034 0.2500
Sn 0.7763 0.0137 0.2500
Sn 0.7763 0.4863 0.7500

Material: DyCd11Sn
Method: DFT, PBE-GGA
State: optimized geometry

Values from the calculation:
* formation energy from the elements: -27 meV/atom

Unit cell a=7.6785 b=7.6785 c=7.5889 alpha=100.15 beta=100.15 gamma=130.42
Sites, in units of the cell vectors:
Dy 0.0000 0.0000 0.0000
Cd 0.0000 0.5000 0.0000
Cd 0.0055 0.3561 0.3470
Cd 0.3000 0.5164 0.7878
Cd 0.3561 0.0055 0.3470
Cd 0.4836 0.7000 0.2122
Cd 0.5000 0.0000 0.0000
Cd 0.5000 0.5000 0.5000
Cd 0.5164 0.3000 0.7878
Cd 0.6439 0.9945 0.6530
Cd 0.7000 0.4836 0.2122
Cd 0.9945 0.6439 0.6530
Sn 0.0000 0.0000 0.5000

Material: Dy3Cd2Sn
Method: DFT, PBE-GGA
State: optimized geometry

Values from the calculation:
* formation energy from the elements: -451 meV/atom

Unit cell a=5.2736 b=15.9672 c=3.7387 alpha=90.00 beta=90.00 gamma=90.00
Sites, in units of the cell vectors:
Dy 0.0000 0.0000 0.0000
Dy 0.0000 0.3354 0.0000
Dy 0.0000 0.6646 0.0000
Dy 0.5000 0.1646 0.0000
Dy 0.5000 0.5000 0.0000
Dy 0.5000 0.8354 0.0000
Cd 0.0000 0.1758 0.5000
Cd 0.0000 0.8242 0.5000
Cd 0.5000 0.3242 0.5000
Cd 0.5000 0.6758 0.5000
Sn 0.0000 0.5000 0.5000
Sn 0.5000 0.0000 0.5000

Material: Dy5Cd4Sn
Method: DFT, PBE-GGA
State: optimized geometry

Values from the calculation:
* formation energy from the elements: -384 meV/atom

Unit cell a=3.7552 b=3.7552 c=18.6343 alpha=90.00 beta=90.00 gamma=90.00
Sites, in units of the cell vectors:
Dy 0.0000 0.0000 0.0000
Dy 0.0000 0.0000 0.1998
Dy 0.0000 0.0000 0.3991
Dy 0.0000 0.0000 0.6009
Dy 0.0000 0.0000 0.8002
Cd 0.5000 0.5000 0.1005
Cd 0.5000 0.5000 0.2962
Cd 0.5000 0.5000 0.7038
Cd 0.5000 0.5000 0.8995
Sn 0.5000 0.5000 0.5000

Material: Dy3CdSn3
Method: DFT, PBE-GGA
State: optimized geometry

Values from the calculation:
* formation energy from the elements: -363 meV/atom

Unit cell a=9.2021 b=9.2021 c=6.1507 alpha=90.00 beta=90.00 gamma=120.00
Sites, in units of the cell vectors:
Dy 0.0407 0.3591 0.2500
Dy 0.3184 0.9593 0.2500
Dy 0.3591 0.3184 0.7500
Dy 0.6409 0.6816 0.2500
Dy 0.6816 0.0407 0.7500
Dy 0.9593 0.6409 0.7500
Cd 0.3333 0.6667 0.7500
Cd 0.6667 0.3333 0.2500
Sn 0.0339 0.3426 0.7500
Sn 0.3087 0.9661 0.7500
Sn 0.3426 0.3087 0.2500
Sn 0.6574 0.6913 0.7500
Sn 0.6913 0.0339 0.2500
Sn 0.9661 0.6574 0.2500